This record from the Alexandria database describes a geometry-optimized Ho4PdRh2 structure. The functional is PBE.

Cell and atoms, written as CIF:
```
data_Ho4PdRh2
_space_group_name_H-M_alt 'P 4/m m m'
_space_group_IT_number 123
_space_group_name_Hall '-P 4 2'
_cell_length_a 4.834
_cell_length_b 4.834
_cell_length_c 6.857
_cell_angle_alpha 90.00
_cell_angle_beta 90.00
_cell_angle_gamma 90.00
loop_
_atom_site_label
_atom_site_fract_x
_atom_site_fract_y
_atom_site_fract_z
Ho1 0.000 0.500 0.249
Pd1 0.000 0.000 0.500
Rh1 0.000 0.000 0.000
Rh2 0.500 0.500 0.500
```

Calculated values
The energy above the most stable polymorph in this dataset comes out at 0.026 eV/atom.